An optimized crystal structure of Y4Au. Source: OQMD via LeMat-Bulk, functional GGA-PBE.

Output
Crystal system   tetragonal
Final energy   -29.0 eV/f.u.

Unit cell a=7.8749 b=7.8749 c=4.4920 alpha=90.00 beta=90.00 gamma=90.00
With the nearest neighbours (Å) after each atom.
Fractional positions:
Y1 0.3476 0.1524 0.0000  2 Au 2.99, 6 Y 3.11-3.30
Y2 0.1524 0.6524 0.0000  2 Au 2.99, 6 Y 3.11-3.30
Y3 0.6545 0.1545 0.5000  7 Y 3.11-3.44
Y4 0.6524 0.8476 0.0000  2 Au 2.99, 6 Y 3.11-3.30
Y5 0.8476 0.3476 0.0000  2 Au 2.99, 6 Y 3.11-3.30
Y6 0.8455 0.6545 0.5000  7 Y 3.11-3.44
Y7 0.1545 0.3455 0.5000  7 Y 3.11-3.44
Y8 0.3455 0.8455 0.5000  7 Y 3.11-3.44
Au1 0.0000 0.0000 0.0000  4 Y 2.99
Au2 0.5000 0.5000 0.0000  4 Y 2.99